# PBE-GGA K2BeZn, optimized geometry
data_K2BeZn
_chemical_formula_sum 'K8 Be4 Zn4'
_cell_length_a 8.197
_cell_length_b 8.197
_cell_length_c 8.197
_cell_angle_alpha 90.00
_cell_angle_beta 90.00
_cell_angle_gamma 90.00
_symmetry_space_group_name_H-M 'F m -3 m'
_symmetry_Int_Tables_number 225
_symmetry_space_group_name_Hall '-F 4 2 3'
loop_
_atom_site_label
_atom_site_type_symbol
_atom_site_fract_x
_atom_site_fract_y
_atom_site_fract_z
K1 K 0.250 0.250 0.250
Be1 Be 0.000 0.000 0.000
Zn1 Zn 0.000 0.000 0.500
# Electronic total energy (eV/atom): -1.1010
# Volume (Å³ per cell): 550.78
# Energy relative to the elements (eV/f.u.): 2.8
# Total magnetization (μB/atom): 0.000
# N(E_F) (states/eV per cell): 16.5